An optimized crystal structure of Ac2FeSiC. Source: the Alexandria database, functional GGA-PBE.

```
10
Lattice="6.5697 0.0000 0.0000 0.0000 4.1604 0.0000 -3.1412 0.0000 8.5747" Properties=species:S:1:pos:R:3 pbc="T T T"
Ac 0.1470 1.0401 3.4020
Ac -1.5042 1.0401 8.2733
Ac 4.9327 3.1203 0.3013
Ac 3.2815 3.1203 5.1727
Fe 2.4489 3.1203 2.1520
Fe 0.9796 1.0401 6.4226
Si 0.0223 3.1203 6.0338
Si 3.4062 1.0401 2.5409
C 0.8276 3.1203 1.5622
C 2.6009 1.0401 7.0125
```

The value obtained for the raw formation energy is -232 meV per atom. As for the density of states at the Fermi level: 8.96 states/eV per cell. Its space-group type is P2_1/m. Its crystal system is monoclinic.

***

An optimized crystal structure of RbMg2ZnRh. Source: the Alexandria database, functional GGA-PBE.

```
5
Lattice="5.1104 0.0000 0.0000 0.0000 5.1104 0.0000 0.0000 0.0000 5.0562" Properties=species:S:1:pos:R:3 pbc="T T T"
Rb 0.0000 0.0000 0.0000
Mg 0.0000 2.5552 2.5281
Mg 2.5552 0.0000 2.5281
Zn 2.5552 2.5552 0.0000
Rh 2.5552 2.5552 2.5281
```

As for the density of states at the Fermi level: 1.76 states/eV per cell. Its space-group type is P4/mmm. The calculated formation energy comes out at -10.33 kJ/mol of atoms. Its crystal system is tetragonal.

***

An optimized crystal structure of Tc2PW. Source: the Alexandria database, functional GGA-PBE.

```
4
Lattice="2.8940 0.0000 0.0000 0.0000 2.8940 0.0000 0.0000 0.0000 6.7226" Properties=species:S:1:pos:R:3 pbc="T T T"
Tc 0.0000 0.0000 0.0000
Tc 1.4470 1.4470 1.8211
P 1.4470 1.4470 5.2849
W 0.0000 0.0000 3.7269
```

As for the density of states at the Fermi level: 1.92 states/eV per cell. Its space-group type is P4mm. The calculated formation energy comes out at -13.12 kJ/mol of atoms. Its crystal system is tetragonal.

***

An optimized crystal structure of TaTlI2. Source: the Alexandria database, functional GGA-PBE.

```
16
Lattice="9.8758 0.0000 0.0000 0.0000 9.8758 0.0000 0.0000 0.0000 5.8838" Properties=species:S:1:pos:R:3 pbc="T T T"
Ta 0.0000 0.0000 0.0000
Ta 0.0000 4.9379 1.4710
Ta 4.9379 0.0000 4.4129
Ta 4.9379 4.9379 2.9419
Tl 0.0000 0.0000 2.9419
Tl 0.0000 4.9379 4.4129
Tl 4.9379 0.0000 1.4710
Tl 4.9379 4.9379 0.0000
I 1.1063 7.4069 0.7355
I 2.4690 1.1063 5.1484
I 2.4690 3.8316 2.2064
I 3.8316 7.4069 3.6774
I 6.0442 2.4690 3.6774
I 7.4069 6.0442 2.2064
I 7.4069 8.7695 5.1484
I 8.7695 2.4690 0.7355
```

The value obtained for the raw formation energy is 328 meV per atom. As for the density of states at the Fermi level: 13.58 states/eV per cell. Its space-group type is I-42d. Its crystal system is tetragonal.

***

An optimized crystal structure of TbPm2NdTl2. Source: the Alexandria database, functional GGA-PBE.

```
12
Lattice="5.2229 0.0000 0.0000 0.0000 10.2267 0.0000 0.0000 0.0000 6.9123" Properties=species:S:1:pos:R:3 pbc="T T T"
Tb 0.0000 1.9167 0.0000
Tb 0.0000 8.3100 3.4561
Pm 0.0000 4.6571 2.5698
Pm 0.0000 5.5696 6.0259
Pm 2.6115 3.2457 4.4748
Pm 2.6115 6.9810 1.0186
Nd 2.6115 0.4418 1.9185
Nd 2.6115 9.7848 5.3747
Tl 0.0000 1.3486 3.7223
Tl 0.0000 8.8781 0.2661
Tl 2.6115 3.6864 0.7918
Tl 2.6115 6.5403 4.2480
```

As for the density of states at the Fermi level: 13.63 states/eV per cell. Its space-group type is Pmc2_1. The calculated formation energy comes out at -26.30 kJ/mol of atoms. Its crystal system is orthorhombic.

***

An optimized crystal structure of TlCuBr2. Source: the Alexandria database, functional GGA-PBE.

```
12
Lattice="4.0575 0.0000 0.0000 -2.0288 3.5139 0.0000 0.0000 0.0000 22.5901" Properties=species:S:1:pos:R:3 pbc="T T T"
Tl 0.0000 0.0000 0.0000
Tl 0.0000 2.3426 15.0601
Tl 2.0288 1.1713 7.5300
Cu 0.0000 0.0000 11.2950
Cu 0.0000 2.3426 3.7650
Cu 2.0288 1.1713 18.8251
Br 0.0000 0.0000 5.1694
Br 0.0000 0.0000 17.4207
Br 0.0000 2.3426 9.8907
Br 0.0000 2.3426 20.2295
Br 2.0288 1.1713 2.3606
Br 2.0288 1.1713 12.6994
```

The value obtained for the raw formation energy is -416 meV per atom. Its space-group type is R-3m. Its crystal system is trigonal.

***

An optimized crystal structure of Na2TmZnGe2. Source: the Alexandria database, functional GGA-PBE.

```
12
Lattice="4.3979 0.0000 0.0000 0.0000 8.4757 0.0000 0.0000 0.0000 7.1229" Properties=species:S:1:pos:R:3 pbc="T T T"
Na 0.0000 0.7360 0.0000
Na 0.0000 7.7397 3.5614
Na 2.1989 1.2924 2.2607
Na 2.1989 7.1833 5.8222
Tm 2.1989 3.9444 7.0213
Tm 2.1989 4.5313 3.4599
Zn 0.0000 2.6495 4.4658
Zn 0.0000 5.8261 0.9044
Ge 0.0000 3.3249 1.8638
Ge 0.0000 5.1508 5.4252
Ge 2.1989 1.6443 5.1992
Ge 2.1989 6.8314 1.6378
```

As for the density of states at the Fermi level: 4.86 states/eV per cell. Its space-group type is Pmc2_1. The calculated formation energy comes out at -33.04 kJ/mol of atoms. Its crystal system is orthorhombic.

***

An optimized crystal structure of Hg2RhAu. Source: the Alexandria database, functional GGA-PBE.

```
12
Lattice="3.0781 0.0000 0.0000 -1.5391 2.6658 0.0000 0.0000 0.0000 27.5938" Properties=species:S:1:pos:R:3 pbc="T T T"
Hg 0.0000 0.0000 6.7857
Hg 0.0000 0.0000 20.8081
Hg 0.0000 1.7772 11.6102
Hg 0.0000 1.7772 25.1816
Hg 1.5391 0.8886 2.4123
Hg 1.5391 0.8886 15.9836
Rh 0.0000 0.0000 13.7969
Rh 0.0000 1.7772 4.5990
Rh 1.5391 0.8886 22.9948
Au 0.0000 0.0000 0.0000
Au 0.0000 1.7772 18.3959
Au 1.5391 0.8886 9.1979
```

As for the density of states at the Fermi level: 8.28 states/eV per cell. Its space-group type is R-3m. The calculated formation energy comes out at 16.66 kJ/mol of atoms. Its crystal system is trigonal.

***

An optimized crystal structure of BTe3As. Source: the Alexandria database, functional GGA-PBE.

```
5
Lattice="4.8557 0.0000 0.0000 0.0000 4.8557 0.0000 0.0000 0.0000 4.8557" Properties=species:S:1:pos:R:3 pbc="T T T"
B 0.0000 0.0000 0.0000
Te 0.0000 0.0000 2.4278
Te 0.0000 2.4278 0.0000
Te 2.4278 0.0000 0.0000
As 2.4278 2.4278 2.4278
```

The value obtained for the raw formation energy is 801 meV per atom. As for the density of states at the Fermi level: 3.61 states/eV per cell. Its space-group type is Pm-3m. Its crystal system is cubic.

***

An optimized crystal structure of Fe3Ni5H12. Source: the Alexandria database, functional GGA-PBE.

```
80
Lattice="-5.0294 5.0294 5.0294 5.0294 -5.0294 5.0294 5.0294 5.0294 -5.0294" Properties=species:S:1:pos:R:3 pbc="T T T"
Fe 2.5147 1.2573 0.0000
Fe 5.0294 2.5147 -1.2573
Fe 1.2573 0.0000 2.5147
Fe 6.2867 0.0000 2.5147
Fe 0.0000 2.5147 1.2573
Fe 2.5147 -1.2573 5.0294
Fe 2.5147 6.2867 0.0000
Fe 5.0294 2.5147 3.7720
Fe -1.2573 5.0294 2.5147
Fe 3.7720 5.0294 2.5147
Fe 0.0000 2.5147 6.2867
Fe 2.5147 3.7720 5.0294
Ni 0.0000 0.0000 0.0000
Ni 2.5147 2.5147 -2.5147
Ni 2.5147 -2.5147 2.5147
Ni 5.0294 0.0000 0.0000
Ni 7.5440 1.2573 0.0000
Ni 5.0294 -2.5147 3.7720
Ni 3.7720 5.0294 -2.5147
Ni 3.7720 0.0000 2.5147
Ni 2.5147 3.7720 0.0000
Ni 5.0294 2.5147 1.2573
Ni -2.5147 2.5147 2.5147
Ni 0.0000 5.0294 0.0000
Ni 0.0000 0.0000 5.0294
Ni 2.5147 2.5147 2.5147
Ni 0.0000 2.5147 3.7720
Ni 2.5147 1.2573 5.0294
Ni 1.2573 5.0294 2.5147
Ni 1.2573 0.0000 7.5440
Ni 0.0000 7.5440 1.2573
Ni -2.5147 3.7720 5.0294
H 1.5379 -0.1534 0.6583
H 6.0061 3.1730 -2.6680
H 6.5673 0.1534 0.6583
H 6.0061 -1.8564 2.6680
H 4.8760 -0.6583 1.5379
H 7.6974 -0.9768 1.8564
H 0.6583 1.5379 -0.1534
H 6.8858 2.3613 -0.9768
H 3.1730 2.6680 -0.9768
H 4.3711 1.5379 0.1534
H -0.1534 0.6583 1.5379
H 2.6680 -0.9768 3.1730
H 4.8760 4.3711 -1.5379
H 2.6680 0.9768 1.8564
H 3.1730 -2.6680 6.0061
H 4.3711 -1.5379 4.8760
H 1.8564 2.6680 0.9768
H 5.6876 3.4914 0.1534
H 2.6680 6.0061 -1.8564
H 4.8760 0.6583 3.4914
H 1.5379 4.8760 -0.6583
H 6.0061 1.8564 2.3613
H 0.9768 1.8564 2.6680
H 1.5379 0.1534 4.3711
H 3.4914 4.8760 0.6583
H 4.0526 3.1730 2.3613
H -0.9768 3.1730 2.6680
H 3.4914 0.1534 5.6876
H 0.1534 4.3711 1.5379
H 2.3613 -0.9768 6.8858
H -0.6583 1.5379 4.8760
H 3.1730 2.3613 4.0526
H 0.6583 6.5673 0.1534
H 1.8564 7.6974 -0.9768
H 2.3613 4.0526 3.1730
H 0.1534 0.6583 6.5673
H 2.3613 6.0061 1.8564
H 5.1827 4.3711 3.4914
H 0.6583 3.4914 4.8760
H 1.8564 2.3613 6.0061
H -1.8564 2.6680 6.0061
H 4.3711 3.4914 5.1827
H -2.6680 6.0061 3.1730
H 0.1534 5.6876 3.4914
H -0.9768 6.8858 2.3613
H -1.5379 4.8760 4.3711
H -0.9768 1.8564 7.6974
H 3.4914 5.1827 4.3711
```

As for the density of states at the Fermi level: 31.39 states/eV per cell. Its space-group type is Ia-3d. The value obtained for the total energy is -370.79 eV/cell. Its crystal system is cubic.

***

An optimized crystal structure of Na2CaP4O12. Source: the Alexandria database, functional GGA-PBE.

```
38
Lattice="9.7847 0.0000 0.0000 0.0000 9.7847 0.0000 0.0000 0.0000 5.0102" Properties=species:S:1:pos:R:3 pbc="T T T"
Na 0.0000 0.0000 0.0000
Na 0.0000 4.8923 0.0000
Na 4.8923 0.0000 0.0000
Na 4.8923 4.8923 0.0000
Ca 2.4462 2.4462 0.0000
Ca 7.3385 7.3385 0.0000
P 0.3192 7.3385 2.5051
P 2.4462 5.2115 2.5051
P 2.4462 9.4655 2.5051
P 4.5731 7.3385 2.5051
P 5.2115 2.4462 2.5051
P 7.3385 0.3192 2.5051
P 7.3385 4.5731 2.5051
P 9.4655 2.4462 2.5051
O 0.4162 1.8666 1.3365
O 0.4162 3.0258 3.6736
O 1.3402 6.2325 3.1432
O 1.3402 8.4445 1.8670
O 1.8666 0.4162 3.6736
O 1.8666 4.4761 1.3365
O 3.0258 0.4162 1.3365
O 3.0258 4.4761 3.6736
O 3.5521 6.2325 1.8670
O 3.5521 8.4445 3.1432
O 4.4761 1.8666 3.6736
O 4.4761 3.0258 1.3365
O 5.3086 6.7589 3.6736
O 5.3086 7.9181 1.3365
O 6.2325 1.3402 1.8670
O 6.2325 3.5521 3.1432
O 6.7589 5.3086 1.3365
O 6.7589 9.3685 3.6736
O 7.9181 5.3086 3.6736
O 7.9181 9.3685 1.3365
O 8.4445 1.3402 3.1432
O 8.4445 3.5521 1.8670
O 9.3685 6.7589 1.3365
O 9.3685 7.9181 3.6736
```

The value obtained for the raw formation energy is -2361 meV per atom. As for the density of states at the Fermi level: 0.00 states/eV per cell. Its space-group type is P4/nbm. Its crystal system is tetragonal.

***

An optimized crystal structure of LiMgCdRh. Source: the Alexandria database, functional GGA-PBE.

```
4
Lattice="3.2315 0.0000 0.0000 0.0000 4.4056 0.0000 0.0000 0.0000 4.6207" Properties=species:S:1:pos:R:3 pbc="T T T"
Li 0.0000 0.0000 0.0000
Mg 1.6157 0.0000 2.3104
Cd 1.6157 2.2028 0.0000
Rh 0.0000 2.2028 2.3104
```

As for the density of states at the Fermi level: 1.60 states/eV per cell. Its space-group type is Pmmm. The calculated formation energy comes out at -31.31 kJ/mol of atoms. Its crystal system is orthorhombic.